Record 1
Material: Li3PrSn6
Method: DFT, PBE-GGA
State: relaxed

Properties
Spin magnetization = 0.00 Bohr magnetons per cell
D(E_F) = 5.933 states/eV per cell
Symmetry = P2_1/m (11)
E = -3.80 eV per atom
ΔH_f (0 K) = -3.46 eV per formula unit
ρ = 6.03 Mg/m³

abc: 9.841 4.587 10.721
angles: 90.00 95.81 90.00
Sites, in units of the cell vectors:
Li 0.057 0.250 0.419
Li 0.169 0.750 0.176
Li 0.242 0.250 0.995
Li 0.758 0.750 0.005
Li 0.831 0.250 0.824
Li 0.943 0.750 0.581
Pr 0.413 0.250 0.619
Pr 0.587 0.750 0.381
Sn 0.022 0.750 0.887
Sn 0.093 0.250 0.704
Sn 0.230 0.750 0.458
Sn 0.316 0.750 0.817
Sn 0.334 0.250 0.293
Sn 0.453 0.750 0.090
Sn 0.547 0.250 0.910
Sn 0.666 0.750 0.707
Sn 0.684 0.250 0.183
Sn 0.770 0.250 0.542
Sn 0.907 0.750 0.296
Sn 0.978 0.250 0.113

=====

Record 2
Material: La3Tb3Y4
Method: DFT, PBE-GGA
State: relaxed

Properties
Spin magnetization = 0.26 Bohr magnetons per cell
D(E_F) = 12.862 states/eV per cell
Symmetry = Amm2 (38)
E = -5.36 eV per atom
ΔH_f (0 K) = 0.95 eV per formula unit
ρ = 5.99 Mg/m³

abc: 3.704 9.667 9.667
angles: 90.05 90.00 90.00
Sites, in units of the cell vectors:
La 0.000 0.000 0.000
La 0.500 0.177 0.670
La 0.500 0.670 0.177
Tb 0.000 0.350 0.350
Tb 0.000 0.500 0.847
Tb 0.000 0.847 0.500
Y 0.500 0.055 0.303
Y 0.500 0.303 0.055
Y 0.500 0.551 0.551
Y 0.500 0.794 0.794

=====

Record 3
Material: TbEr5Pt6
Method: DFT, PBE-GGA
State: relaxed

Properties
Spin magnetization = 0.00 Bohr magnetons per cell
D(E_F) = 6.258 states/eV per cell
Symmetry = C2/m (12)
E = -6.56 eV per atom
ΔH_f (0 K) = -15.08 eV per formula unit
ρ = 14.33 Mg/m³

abc: 8.503 8.503 4.915
angles: 106.77 106.77 120.09
Sites, in units of the cell vectors:
Tb 0.000 0.000 0.000
Er 0.167 0.833 0.500
Er 0.333 0.667 0.000
Er 0.500 0.500 0.500
Er 0.667 0.333 0.000
Er 0.833 0.167 0.500
Pt 0.083 0.420 0.251
Pt 0.254 0.254 0.754
Pt 0.420 0.083 0.251
Pt 0.580 0.917 0.749
Pt 0.746 0.746 0.246
Pt 0.917 0.580 0.749

=====

Record 4
Material: IrC
Method: DFT, PBE-GGA
State: relaxed

Properties
Spin magnetization = 0.00 Bohr magnetons per cell
D(E_F) = 11.666 states/eV per cell
Symmetry = R-3m (166)
E = -8.47 eV per atom
ΔH_f (0 K) = 1.15 eV per formula unit
ρ = 10.54 Mg/m³

abc: 2.581 2.581 33.474
angles: 90.00 90.00 120.00
Sites, in units of the cell vectors:
Ir 0.000 0.000 0.133
Ir 0.000 0.000 0.867
Ir 0.333 0.667 0.534
Ir 0.333 0.667 0.799
Ir 0.667 0.333 0.201
Ir 0.667 0.333 0.466
C 0.000 0.000 0.333
C 0.000 0.000 0.667
C 0.333 0.667 0.000
C 0.333 0.667 0.333
C 0.667 0.333 0.000
C 0.667 0.333 0.667